The following is a DFT calculation (PBE) of PmAsN2O after structural relaxation.

As for the magnetic moment: 0.00 μB per formula unit. The calculation puts the calculated total energy at -6.886 eV/atom. Its symmetry is P4/mmm.

The structure in extended XYZ format:
```
5
Lattice="3.819 0.000 0.000 0.000 3.819 0.000 0.000 0.000 3.877" Properties=species:S:1:pos:R:3 pbc="T T T"
Pm 0.000 0.000 0.000
As 1.910 1.910 1.939
N 0.000 1.910 1.939
N 1.910 0.000 1.939
O 1.910 1.910 0.000
```